Material: TiSiO
Method: DFT, PBE-GGA
State: relaxed

```
6
Lattice="10.6231 0.0000 0.0000 0.0000 1.4252 2.5209 0.0000 -1.4252 2.5209" Properties=species:S:1:pos:R:3 pbc="T T T"
Ti 2.0717 0.0000 0.0000
Ti 8.5515 0.0000 0.0000
Si 0.0000 0.0000 3.3647
Si 5.3116 0.0000 0.8716
O 3.2326 0.0000 3.3985
O 7.3905 0.0000 3.3985
```

Output
Space group ... Amm2
Crystal system ... orthorhombic
Electronic total energy ... -44.3 eV/cell
Formation energy from raw total energies ... -1.29 eV/atom
D(E_F) ... 0.39 states/eV/atom